Entry 1:
The following is a PBE calculation of a relaxed AlPtRh6 crystal, from the Alexandria database.

Summary:
As for the total energy: -55.95 eV for the cell shown. Its crystal system is monoclinic. Its energy of formation from the pure elements is -258 meV per atom.

The structure in POSCAR format:
```
AlPtRh6
1.0
-1.284 3.419 -1.267
-4.695 0.366 -0.151
-1.403 3.849 5.914
Rh Pt Al
6 1 1
Direct
0.245 0.877 0.632 Rh
0.755 0.123 0.368 Rh
0.252 0.376 0.121 Rh
0.748 0.624 0.879 Rh
0.500 0.247 0.753 Rh
0.500 0.753 0.247 Rh
0.000 0.500 0.500 Pt
0.000 0.000 0.000 Al
```

=====

Entry 2:
The following is a PBE calculation of a relaxed Pm2Sm3Er7 crystal, from the Alexandria database.

Summary:
As for the total energy: -54.66 eV for the cell shown. Its crystal system is monoclinic. As for the excess energy over the best structure of this formula in the dataset: 0.00 eV/f.u. Its energy of formation from the pure elements is 78 meV per atom.

The structure in POSCAR format:
```
Pm2Sm3Er7
1.0
3.536 0.000 0.000
0.000 6.357 -0.055
0.000 0.156 17.235
Sm Pm Er
3 2 7
Direct
0.000 0.000 0.660 Sm
0.000 0.000 0.340 Sm
0.500 0.500 0.000 Sm
0.500 0.493 0.675 Pm
0.500 0.507 0.325 Pm
0.000 0.324 0.836 Er
0.000 0.676 0.164 Er
0.500 0.245 0.500 Er
0.500 0.172 0.165 Er
0.500 0.755 0.500 Er
0.500 0.828 0.835 Er
0.000 0.000 0.000 Er
```

=====

- The lowest energy of formation from the pure elements belongs to which entry?
  AlPtRh6

=====

- Look up the energy of formation from the pure elements of the first one.
  -258 meV per atom